DFT (PBE) results for a relaxed MnBe2Pt crystal.

Structure (POSCAR):
```
MnBe2Pt
1.0
2.744 0.000 0.000
0.000 2.744 0.000
0.000 0.000 5.786
Mn Be Pt
1 2 1
Direct
0.000 0.000 0.000
0.000 0.000 0.570
0.500 0.500 0.770
0.500 0.500 0.333
```

- ρ: 10.22 Mg/m³
- ΔE_f: -0.2849 eV per atom


DFT (PBE) results for a relaxed MnBePt2 crystal.

Structure (POSCAR):
```
MnBePt2
1.0
-1.440 2.108 4.440
1.440 -2.108 4.440
1.440 2.108 -4.440
Mn Be Pt
1 1 2
Direct
0.000 0.000 0.000
0.760 0.260 0.500
0.273 0.773 0.500
0.554 0.554 0.000
```

- ρ: 13.99 Mg/m³
- ΔE_f: -0.3863 eV per atom


DFT (PBE) results for a relaxed MnBePt2 crystal.

Structure (POSCAR):
```
MnBePt2
1.0
-1.374 1.970 5.428
1.374 -1.970 5.428
1.374 1.970 -5.428
Mn Be Pt
1 1 2
Direct
0.000 0.000 0.000
0.500 0.500 0.000
0.313 0.313 0.000
0.687 0.687 0.000
```

- ρ: 12.83 Mg/m³
- ΔE_f: 0.0253 eV per atom


DFT (PBE) results for a relaxed MnBePt3 crystal.

Structure (POSCAR):
```
MnBePt3
1.0
4.227 0.000 0.000
0.000 4.227 0.000
0.000 0.000 4.227
Mn Be Pt
1 1 3
Direct
0.000 0.000 0.000
0.500 0.500 0.500
0.000 0.500 0.500
0.500 0.000 0.500
0.500 0.500 0.000
```

- ρ: 14.27 Mg/m³
- ΔE_f: -0.1544 eV per atom